Density functional theory data (PBE+U) for a relaxed structure of Mn3FeP4O16.

The density of states at the Fermi level comes out at 0.02 states/eV/cell. As for the distance to the lowest polymorph of the same formula: 0 meV/atom.

Cell lengths 6.0147, 4.9039, 9.8820 Å; angles 89.65, 90.00, 90.00 degrees
Closest atoms and distances in Å follow each position.
Atoms (fractional coordinates):
Mn 0.5000 0.9194 0.2882  4 O 1.91-2.01
Mn 0.5000 0.5764 0.7848  4 O 1.89-2.05
Mn 0.0000 0.4218 0.2121  4 O 1.90-2.01
Fe 0.0000 0.0526 0.7207  4 O 1.93-2.06
P 0.0000 0.9032 0.3997  4 O 1.53-1.56
P 0.0000 0.5963 0.9027  4 O 1.52-1.58
P 0.5000 0.4082 0.0995  4 O 1.54-1.56
P 0.5000 0.0953 0.6001  4 O 1.54-1.56
O 0.0000 0.8531 0.5528  1 P 1.53
O 0.2009 0.7584 0.3298  1 P 1.56
O 0.7991 0.7584 0.3298  1 P 1.56
O 0.5000 0.7819 0.6222  1 P 1.55
O 0.5000 0.7186 0.1232  1 P 1.54
O 0.1982 0.7490 0.8300  1 P 1.58
O 0.8018 0.7490 0.8300  1 P 1.58
O 0.0000 0.6549 0.0552  1 P 1.54
O 0.5000 0.3598 0.9452  1 P 1.54
O 0.7010 0.2609 0.1679  1 P 1.56
O 0.2990 0.2609 0.1679  1 P 1.56
O 0.0000 0.2907 0.8773  1 P 1.52
O 0.0000 0.2144 0.3751  1 P 1.54
O 0.7031 0.2358 0.6698  1 P 1.56
O 0.2969 0.2358 0.6698  1 P 1.56
O 0.5000 0.1451 0.4460  1 P 1.54